[1]
DFT (PBE) results for a geometry-optimized CeMnI5 structure.

Results
Total moment, μB/f.u.: 6.00
Energy relative to the elements, uncorrected, meV per atom: -907
SG: C2/c (15)
E_tot, eV per cell: -58.4

Cell lengths 8.2320, 8.2320, 11.7454 Å; angles 108.46, 109.97, 93.49 degrees
Each line ends with the local moment (μB).
Sites, in units of the cell vectors:
Ce (0.0000, 0.0000, 0.0000)  1.04
Ce (0.0000, 0.5000, 0.5000)  1.04
Mn (0.6118, 0.8618, 0.2500)  4.27
Mn (0.3882, 0.1382, 0.7500)  4.27
I (0.2566, 0.8206, 0.1684)  0.03
I (0.2324, 0.8476, 0.5389)  0.03
I (0.3478, 0.4119, 0.6684)  0.03
I (0.0829, 0.3329, 0.2500)  -0.01
I (0.3088, 0.1935, 0.9611)  0.03
I (0.6912, 0.8065, 0.0389)  0.03
I (0.9171, 0.6671, 0.7500)  -0.01
I (0.6522, 0.5881, 0.3316)  0.03
I (0.7676, 0.1524, 0.4611)  0.03
I (0.7434, 0.1794, 0.8316)  0.03

=====

[2]
DFT (PBE) results for a geometry-optimized Ce4MnI5 structure.

Results
Total moment, μB/f.u.: 4.08
Energy relative to the elements, uncorrected, meV per atom: -902
SG: C2/m (12)
E_tot, eV per cell: -49.7

Cell lengths 4.2975, 9.1957, 9.8278 Å; angles 103.06, 102.63, 90.00 degrees
Each line ends with the local moment (μB).
Sites, in units of the cell vectors:
Ce (0.6300, 0.0661, 0.2600)  0.93
Ce (0.9990, 0.2124, 0.9979)  0.95
Ce (0.3700, 0.9339, 0.7400)  0.93
Ce (0.0010, 0.7876, 0.0021)  0.95
Mn (0.5000, 0.0000, 0.0000)  -0.76
I (0.1688, 0.3360, 0.3375)  -0.01
I (0.1737, 0.8334, 0.3474)  -0.01
I (0.8263, 0.1666, 0.6526)  -0.01
I (0.5000, 0.5000, 0.0000)  -0.01
I (0.8312, 0.6640, 0.6625)  -0.01

=====

[3]
DFT (PBE) results for a geometry-optimized CeMnI2 structure.

Results
Total moment, μB/f.u.: 6.39
Energy relative to the elements, uncorrected, meV per atom: -42
SG: R-3m (166)
E_tot, eV per cell: -18.4

Cell lengths 3.9284, 3.9284, 10.2002 Å; angles 78.90, 78.90, 60.00 degrees
Each line ends with the local moment (μB).
Sites, in units of the cell vectors:
I (0.1083, 0.1083, 0.6750)  0.06
I (0.8917, 0.8917, 0.3250)  0.06
Mn (0.5000, 0.5000, 0.5000)  4.03
Ce (0.0000, 0.0000, 0.0000)  1.29

=====

[4]
DFT (PBE) results for a geometry-optimized Ce2MnI structure.

Results
Total moment, μB/f.u.: 0.00
Energy relative to the elements, uncorrected, meV per atom: -306
SG: R-3m (166)
E_tot, eV per cell: -23.8

Cell lengths 3.9592, 3.9592, 8.2542 Å; angles 76.12, 76.12, 60.00 degrees
Sites, in units of the cell vectors:
I (0.5000, 0.5000, 0.5000)
Mn (0.0000, 0.0000, 0.0000)
Ce (0.7258, 0.7258, 0.8226)
Ce (0.2742, 0.2742, 0.1774)

=====

[5]
DFT (PBE) results for a geometry-optimized Ce4MoI5 structure.

Results
Total moment, μB/f.u.: 4.01
Energy relative to the elements, uncorrected, meV per atom: -845
SG: C2/m (12)
E_tot, eV per cell: -50.8

Cell lengths 4.2463, 9.2701, 9.9986 Å; angles 103.15, 102.26, 90.00 degrees
Each line ends with the local moment (μB).
Sites, in units of the cell vectors:
Ce (0.6407, 0.0728, 0.2814)  0.93
Ce (0.9993, 0.2143, 0.9987)  0.74
Ce (0.3593, 0.9272, 0.7186)  0.93
Ce (0.0007, 0.7857, 0.0013)  0.74
Mo (0.5000, 0.0000, 0.0000)  -0.26
I (0.1674, 0.3409, 0.3348)  -0.01
I (0.1724, 0.8295, 0.3448)  -0.01
I (0.8276, 0.1705, 0.6552)  -0.01
I (0.5000, 0.5000, 0.0000)  -0.01
I (0.8326, 0.6591, 0.6652)  -0.01

=====

[6]
DFT (PBE) results for a geometry-optimized Ce4I3N2 structure.

Results
Total moment, μB/f.u.: 4.60
Energy relative to the elements, uncorrected, meV per atom: -1153
SG: C2/m (12)
E_tot, eV per cell: -55.4

Cell lengths 3.6874, 7.7627, 9.1901 Å; angles 106.37, 90.00, 103.74 degrees
Each line ends with the local moment (μB).
Sites, in units of the cell vectors:
Ce (0.6876, 0.3751, 0.0949)  0.86
Ce (0.0943, 0.1886, 0.7232)  1.01
Ce (0.9057, 0.8114, 0.2768)  1.01
Ce (0.3124, 0.6249, 0.9051)  0.86
I (0.3939, 0.7878, 0.5829)  -0.01
I (0.0000, 0.0000, 0.0000)  -0.01
I (0.6061, 0.2122, 0.4171)  -0.01
N (0.3058, 0.6115, 0.1632)  -0.05
N (0.6942, 0.3885, 0.8368)  -0.05